Record 1
A plane-wave DFT calculation with GGA-PBE was carried out for KAlZn2 after structural relaxation.

Cell and atoms, written as POSCAR:
```
KAlZn2
1.0
4.3974 0.0000 0.0000
-2.1987 3.6023 -1.2479
0.0000 -0.2916 6.8002
K Al Zn
1 1 2
Cartesian
0.0000 1.5898 4.5035
0.0000 3.0878 1.1119
0.0000 0.4016 1.1362
2.1987 1.6879 0.9529
```

Output
Total moment: 0.0 μB per cell
Energy of formation from the pure elements: 2.2 kJ per mole of atoms
SG: Cm
Crystal system: monoclinic
E_tot: -1.82 eV/atom

***

Record 2
A plane-wave DFT calculation with GGA-PBE was carried out for LaErSi2Pt2 after structural relaxation.

Cell and atoms, written as POSCAR:
```
LaErSi2Pt2
1.0
-1.7116 1.0383 -3.6833
-0.5481 -3.8549 1.5537
-6.8376 2.5416 3.8937
La Er Si Pt
1 1 2 2
Cartesian
0.0000 0.0000 0.0000
-3.4188 1.2708 1.9469
-6.3744 1.2847 0.9385
-2.7229 -1.5596 0.8256
-3.1885 0.1004 -0.8758
-5.9088 -0.3753 2.6399
```

Output
Total moment: 0.0 μB per cell
SG: P-3m1
ΔE_f (raw): -1.15 eV per atom
Crystal system: trigonal
E_tot: -6.55 eV/atom

***

Record 3
A plane-wave DFT calculation with GGA-PBE was carried out for BaMoIr2 after structural relaxation.

Cell and atoms, written as POSCAR:
```
BaMoIr2
1.0
6.0830 0.0035 -0.0007
3.1599 5.1979 0.0007
-3.8606 -3.9527 2.5446
Ba Ir Mo
1 2 1
Cartesian
1.9485 1.9162 1.2726
8.9460 5.0343 0.0000
3.3742 -0.7012 1.2719
4.9781 2.8014 0.0000
```

Output
Total moment: 0.0 μB per cell
Energy of formation from the pure elements: 63.6 kJ per mole of atoms
SG: Imm2
Crystal system: orthorhombic
Polymorph energy (0 for the lowest one): 2.29 eV per formula unit
E_tot: -6.96 eV/atom

***

Record 4
A plane-wave DFT calculation with GGA-PBE was carried out for Ta2BeRe after structural relaxation.

Cell and atoms, written as POSCAR:
```
Ta2BeRe
1.0
2.7854 0.0200 0.0000
-0.7688 2.6772 0.0000
0.0000 0.0000 8.0734
Re Be Ta
1 1 2
Cartesian
1.0083 1.3486 5.7774
0.0000 0.0000 4.1404
0.0000 0.0000 7.9846
1.0083 1.3486 2.2811
```

Output
Total moment: 0.0 μB per cell
Energy of formation from the pure elements: 3.1 kJ per mole of atoms
SG: Cmm2
Crystal system: orthorhombic
Polymorph energy (0 for the lowest one): 0.66 eV per formula unit
E_tot: -9.94 eV/atom

***

Record 5
A plane-wave DFT calculation with GGA-PBE was carried out for Bi3SI after structural relaxation.

Cell and atoms, written as POSCAR:
```
Bi3SI
1.0
-1.5072 2.6414 4.5886
3.8989 -2.6740 2.8199
3.5820 4.0221 -1.1387
I S Bi
1 1 3
Cartesian
2.9868 1.9947 3.1350
0.0000 0.0000 0.0000
1.9495 -1.3370 1.4100
1.7910 2.0110 -0.5693
-0.7536 1.3207 2.2943
```

Output
Total moment: 0.0 μB per cell
SG: Pm-3m
ΔE_f (raw): 0.40 eV per atom
Crystal system: cubic
Polymorph energy (0 for the lowest one): 0.00 eV per formula unit
E_tot: -3.06 eV/atom

***

Record 6
A plane-wave DFT calculation with GGA-PBE was carried out for AcYIrPt after structural relaxation.

Cell and atoms, written as POSCAR:
```
AcYIrPt
1.0
5.1093 0.0000 0.0000
2.5547 4.4248 0.0000
2.5547 1.4749 4.1717
Y Ac Ir Pt
1 1 1 1
Cartesian
5.1093 2.9499 2.0859
0.0000 0.0000 0.0000
2.5547 1.4749 1.0429
7.6640 4.4248 3.1288
```

Output
Total moment: 0.0 μB per cell
Energy of formation from the pure elements: -77.6 kJ per mole of atoms
SG: F-43m
Crystal system: cubic
E_tot: -7.17 eV/atom

***

Record 7
A plane-wave DFT calculation with GGA-PBE was carried out for PmErPt after structural relaxation.

Cell and atoms, written as POSCAR:
```
PmErPt
1.0
6.8841 0.0000 0.0000
0.0000 7.1499 0.0000
0.0000 0.0000 13.3837
Pm Er Pt
8 8 8
Cartesian
5.5072 2.8310 10.7364
1.3769 4.3190 2.6472
4.8190 6.4059 2.6472
1.3769 0.7440 4.0446
2.0651 0.7440 10.7364
5.5072 6.4059 9.3390
2.0651 4.3190 9.3390
4.8190 2.8310 4.0446
0.0204 1.8636 7.1046
6.8637 5.2864 6.2791
3.4217 5.4385 6.2791
6.8637 1.7114 0.4127
3.4624 1.7114 7.1046
0.0204 5.4385 12.9709
3.4624 5.2864 12.9709
3.4217 1.8636 0.4127
5.0073 0.2883 12.0292
1.8768 6.8616 1.3545
5.3188 3.8633 1.3545
1.8768 3.2866 5.3373
1.5653 3.2866 12.0292
5.0073 3.8633 8.0463
1.5653 6.8616 8.0463
5.3188 0.2883 5.3373
```

Output
Total moment: 0.0 μB per cell
Energy of formation from the pure elements: -87.3 kJ per mole of atoms
SG: Pbca
Crystal system: orthorhombic
Polymorph energy (0 for the lowest one): 0.00 eV per formula unit
E_tot: -6.02 eV/atom

***

Record 8
A plane-wave DFT calculation with GGA-PBE was carried out for Pr2ZnNiN after structural relaxation.

Cell and atoms, written as POSCAR:
```
Pr2ZnNiN
1.0
-1.9712 -0.3377 3.3615
1.7642 -6.5079 0.3808
5.6835 4.4347 3.7782
Pr Zn Ni N
4 2 2 2
Cartesian
3.3766 -2.6946 5.1229
0.1195 -5.2505 2.9562
2.0999 0.2838 2.3977
5.3571 2.8396 4.5644
2.3700 -3.1992 2.2062
3.1065 0.7883 5.3143
4.7302 -0.2493 3.8865
0.7463 -2.1615 3.6340
5.6808 -1.8349 4.2847
-0.2043 -0.5760 3.2358
```

Output
Total moment: 0.0 μB per cell
SG: P2_1/m
ΔE_f (raw): -0.60 eV per atom
Crystal system: monoclinic
E_tot: -5.59 eV/atom

***

Record 9
A plane-wave DFT calculation with GGA-PBE was carried out for NaNpCu2Br8 after structural relaxation.

Cell and atoms, written as POSCAR:
```
NaNpCu2Br8
1.0
-1.4888 4.9069 -5.9722
-4.7964 -6.2271 0.4240
-0.9942 4.1096 6.6396
Na Np Cu Br
1 1 2 8
Cartesian
0.0000 0.0000 0.0000
-4.4666 -1.3888 2.1447
-2.8128 4.1782 -1.0534
-3.1426 -0.6601 -2.7741
-1.0863 2.8174 -0.0460
-3.2007 -0.8545 -0.3640
-1.8536 4.1113 3.4196
-1.9836 6.0758 0.1952
-4.7571 0.9290 -3.6213
-3.0444 4.2924 -3.4576
-5.1369 3.5272 -0.9050
-4.7474 1.3930 2.7485
```

Output
Total moment: 1.9 μB per cell
SG: I-4m2
ΔE_f (raw): -0.83 eV per atom
Crystal system: tetragonal
E_tot: -3.81 eV/atom

***

Record 10
A plane-wave DFT calculation with GGA-PBE was carried out for K2InBi2Pb after structural relaxation.

Cell and atoms, written as POSCAR:
```
K2InBi2Pb
1.0
-4.1651 6.6957 0.1010
-6.4924 -4.0298 -0.5874
4.8616 -1.7440 8.2265
K In Bi Pb
4 2 4 2
Cartesian
-1.1649 1.4895 2.6569
-4.6310 -0.5676 5.0832
0.7586 -1.9984 5.3249
-6.5545 2.9202 2.4152
-4.8693 -3.0223 -0.4406
-1.6231 -1.0074 -0.1469
-3.2860 5.0409 1.7368
-4.3195 -0.5311 1.3895
-1.4764 1.4529 6.3507
-2.5099 -4.1191 6.0033
-6.9518 0.3255 -0.3900
-3.7057 2.3404 -0.0963
```

Output
Total moment: 0.0 μB per cell
Energy of formation from the pure elements: -24.7 kJ per mole of atoms
SG: Ibam
Crystal system: orthorhombic
E_tot: -2.99 eV/atom

***

Record 11
A plane-wave DFT calculation with GGA-PBE was carried out for LaCdH3 after structural relaxation.

Cell and atoms, written as POSCAR:
```
LaCdH3
1.0
4.5282 0.0000 0.0000
0.0000 4.5282 0.0000
0.0000 0.0000 4.5282
H Cd La
3 1 1
Cartesian
0.0000 2.2641 0.0000
0.0000 0.0000 2.2641
2.2641 0.0000 0.0000
2.2641 2.2641 2.2641
0.0000 0.0000 0.0000
```

Output
Total moment: 0.0 μB per cell
SG: Pm-3m
Crystal system: cubic
Polymorph energy (0 for the lowest one): 0.00 eV per formula unit
E_tot: -3.27 eV/atom

***

Record 12
A plane-wave DFT calculation with GGA-PBE was carried out for RbSr2Be after structural relaxation.

Cell and atoms, written as POSCAR:
```
RbSr2Be
1.0
10.1236 0.0000 0.0000
0.0000 10.1236 0.0000
5.0618 5.0618 3.9022
Sr Rb Be
4 2 2
Cartesian
6.4917 2.5309 0.9756
3.6319 7.5927 0.9756
7.5927 8.6937 2.9267
12.6545 11.5535 2.9267
0.0000 0.0000 0.0000
10.1236 5.0618 1.9511
5.0618 5.0618 0.0000
5.0618 10.1236 1.9511
```

Output
Total moment: 0.0 μB per cell
Energy of formation from the pure elements: 54.6 kJ per mole of atoms
SG: I-42d
Crystal system: tetragonal
E_tot: -1.45 eV/atom